(1)
This record from Alexandria describes an optimized crystal structure of CuPdAuF6. The functional is PBE.

Unit cell a=5.4683 b=5.4683 c=9.8819 alpha=90.00 beta=90.00 gamma=120.00
Fractional positions:
Cu 0.3333 0.6667 0.2500
Cu 0.6667 0.3333 0.7500
Pd 0.3333 0.6667 0.7500
Pd 0.6667 0.3333 0.2500
Au 0.0000 0.0000 0.0000
Au 0.0000 0.0000 0.5000
F 0.0079 0.3494 0.1386
F 0.0079 0.6585 0.3614
F 0.3415 0.3494 0.3614
F 0.3415 0.9921 0.1386
F 0.3494 0.0079 0.6386
F 0.3494 0.3415 0.8614
F 0.6506 0.6585 0.1386
F 0.6506 0.9921 0.3614
F 0.6585 0.0079 0.8614
F 0.6585 0.6506 0.6386
F 0.9921 0.3415 0.6386
F 0.9921 0.6506 0.8614

Values from the calculation:
For the uncorrected formation energy, the calculation gives -1.1082 eV/atom. As for the symmetry: P-31c, No. 163. For the size of the total moment, the calculation gives 4.1 μB/cell.

***

(2)
This record from Alexandria describes an optimized crystal structure of Ba2BiH2. The functional is PBE.

Unit cell a=8.2339 b=8.2339 c=8.2339 alpha=149.60 beta=149.60 gamma=43.53
Fractional positions:
Ba 0.1490 0.1490 0.0000
Ba 0.8510 0.8510 0.0000
Bi 0.5000 0.5000 0.0000
H 0.2500 0.7500 0.5000
H 0.7500 0.2500 0.5000

Values from the calculation:
The value obtained for the total energy is -3.5207 eV per atom. As for the symmetry: I4/mmm, No. 139. For the size of the total moment, the calculation gives 0.0 μB/cell.

***

(3)
This record from Alexandria describes an optimized crystal structure of PuThFe4. The functional is PBE.

Unit cell a=5.1522 b=5.1522 c=5.1522 alpha=60.00 beta=60.00 gamma=60.00
Fractional positions:
Pu 0.0000 0.0000 0.0000
Th 0.2500 0.2500 0.2500
Fe 0.1223 0.6259 0.6259
Fe 0.6259 0.1223 0.6259
Fe 0.6259 0.6259 0.1223
Fe 0.6259 0.6259 0.6259

Values from the calculation:
As for the symmetry: F-43m, No. 216. The calculation puts the formation enthalpy at 0 K at 80 meV per atom. For the size of the total moment, the calculation gives 12.0 μB/cell.